The following is a PBE-GGA calculation of an optimized crystal structure of SmEr4Bi2, from the Alexandria database.

The value obtained for the density is 8.7 Mg/m³. The calculation puts the size of the total moment at 0.0 μB/cell. Its raw total energy is -4.022 eV per atom. The density of states at the Fermi level comes out at 7.27 states/eV/f.u. As for the crystal system: tetragonal. The energy of formation is 0.37 eV/atom.

The space group is I4/mmm (No. 139) and the conventional cell measures 5.346, 5.346 and 16.611 Å, with angles of 90.00, 90.00 and 90.00 degrees. The inequivalent atoms are Sm at (0.000, 0.000, 0.000), Er at (0.000, 0.000, 0.181), Er at (0.000, 0.500, 0.000) and Bi at (0.000, 0.000, 0.366).